Computed, not measured: Ca2CeUP4 after structural relaxation at the GGA-PBE level of DFT.

Structure (CIF):
```
data_Ca2CeUP4
_space_group_name_H-M_alt 'P 1 2/m 1'
_space_group_IT_number 10
_cell_length_a 7.043
_cell_length_b 4.087
_cell_length_c 7.102
_cell_angle_alpha 90.00
_cell_angle_beta 109.50
_cell_angle_gamma 90.00
loop_
_space_group_symop_operation_xyz
'x,y,z'
'-x,-y,-z'
'-x,y,-z'
'x,-y,z'
loop_
_atom_site_label
_atom_site_fract_x
_atom_site_fract_y
_atom_site_fract_z
_atom_site_occupancy
Ca1 0.000 0.000 0.000 1
Ca2 0.000 0.500 0.500 1
Ce1 0.500 0.000 0.500 1
U1 0.500 0.500 0.000 1
P1 0.270 0.500 0.246 1
P2 0.272 0.000 0.766 1
```

Calculated values
Electronic total energy: -6.545 eV/atom
Calculated formation energy: -1.187 eV per atom
Total magnetic moment: 2.029 μB per formula unit

=====

Computed, not measured: CaCeY2P4 after structural relaxation at the GGA-PBE level of DFT.

Structure (CIF):
```
data_CaCeY2P4
_space_group_name_H-M_alt 'P 1 2/m 1'
_space_group_IT_number 10
_cell_length_a 6.993
_cell_length_b 4.070
_cell_length_c 7.030
_cell_angle_alpha 90.00
_cell_angle_beta 109.02
_cell_angle_gamma 90.00
loop_
_space_group_symop_operation_xyz
'x,y,z'
'-x,-y,-z'
'-x,y,-z'
'x,-y,z'
loop_
_atom_site_label
_atom_site_fract_x
_atom_site_fract_y
_atom_site_fract_z
_atom_site_occupancy
Ca1 0.000 0.000 0.000 1
Ce1 0.500 0.500 0.000 1
Y1 0.000 0.500 0.500 1
Y2 0.500 0.000 0.500 1
P1 0.254 0.000 0.748 1
P2 0.260 0.500 0.254 1
```

Calculated values
Electronic total energy: -6.765 eV/atom
Calculated formation energy: -1.452 eV per atom
Total magnetic moment: 0.122 μB per formula unit

=====

Computed, not measured: Ca2CeZrP4 after structural relaxation at the GGA-PBE level of DFT.

Structure (CIF):
```
data_Ca2CeZrP4
_space_group_name_H-M_alt 'P 1 2/m 1'
_space_group_IT_number 10
_cell_length_a 6.922
_cell_length_b 3.997
_cell_length_c 7.007
_cell_angle_alpha 90.00
_cell_angle_beta 109.05
_cell_angle_gamma 90.00
loop_
_space_group_symop_operation_xyz
'x,y,z'
'-x,-y,-z'
'-x,y,-z'
'x,-y,z'
loop_
_atom_site_label
_atom_site_fract_x
_atom_site_fract_y
_atom_site_fract_z
_atom_site_occupancy
Ca1 0.000 0.000 0.000 1
Ca2 0.500 0.500 0.000 1
Ce1 0.000 0.500 0.500 1
Zr1 0.500 0.000 0.500 1
P1 0.255 0.000 0.729 1
P2 0.267 0.500 0.274 1
```

Calculated values
Electronic total energy: -6.296 eV/atom
Calculated formation energy: -1.280 eV per atom
Total magnetic moment: 0.069 μB per formula unit

=====

Computed, not measured: CaCe2Pa after structural relaxation at the GGA-PBE level of DFT.

Structure (CIF):
```
data_CaCe2Pa
_space_group_name_H-M_alt 'R -3 m'
_space_group_IT_number 166
_space_group_name_Hall '-R 3 2"'
_cell_length_a 3.8857
_cell_length_b 3.8857
_cell_length_c 30.7570
_cell_angle_alpha 90.00
_cell_angle_beta 90.00
_cell_angle_gamma 120.00
loop_
_atom_site_label
_atom_site_fract_x
_atom_site_fract_y
_atom_site_fract_z
_atom_site_occupancy
Ca1 0.0000 0.0000 0.0000 1
Ce1 0.0000 0.0000 0.1153 1
Pa1 0.0000 0.0000 0.5000 1
```

Calculated values
Electronic total energy: -5.252 eV/atom
Calculated formation energy: 0.590 eV per atom
Total magnetic moment: 0.018 μB per formula unit
Energy above the lowest structure with this stoichiometry: 166 kJ/mol of formula units

=====

Computed, not measured: CaCe2Pa after structural relaxation at the GGA-PBE level of DFT.

Structure (CIF):
```
data_CaCe2Pa
_space_group_name_H-M_alt 'P 4/m m m'
_space_group_IT_number 123
_space_group_name_Hall '-P 4 2'
_cell_length_a 3.327
_cell_length_b 3.327
_cell_length_c 10.764
_cell_angle_alpha 90.00
_cell_angle_beta 90.00
_cell_angle_gamma 90.00
loop_
_atom_site_label
_atom_site_fract_x
_atom_site_fract_y
_atom_site_fract_z
_atom_site_occupancy
Ca1 0.000 0.000 0.000 1
Ce1 0.500 0.500 0.285 1
Pa1 0.000 0.000 0.500 1
```

Calculated values
Electronic total energy: -5.681 eV/atom
Calculated formation energy: 0.160 eV per atom
Total magnetic moment: 1.508 μB per formula unit
Energy above the lowest structure with this stoichiometry: 0 kJ/mol of formula units

=====

Computed, not measured: Ca2CePaSb4 after structural relaxation at the GGA-PBE level of DFT.

Structure (CIF):
```
data_Ca2CePaSb4
_space_group_name_H-M_alt 'P 1 2/m 1'
_space_group_IT_number 10
_cell_length_a 7.726
_cell_length_b 4.506
_cell_length_c 7.814
_cell_angle_alpha 90.00
_cell_angle_beta 109.58
_cell_angle_gamma 90.00
loop_
_space_group_symop_operation_xyz
'x,y,z'
'-x,-y,-z'
'-x,y,-z'
'x,-y,z'
loop_
_atom_site_label
_atom_site_fract_x
_atom_site_fract_y
_atom_site_fract_z
_atom_site_occupancy
Ca1 0.000 0.000 0.000 1
Ca2 0.000 0.500 0.500 1
Ce1 0.500 0.000 0.500 1
Pa1 0.500 0.500 0.000 1
Sb1 0.261 0.500 0.245 1
Sb2 0.264 0.000 0.762 1
```

Calculated values
Electronic total energy: -5.362 eV/atom
Energy relative to the elements, uncorrected: -0.872 eV/atom
Total magnetic moment: 1.041 μB per formula unit

=====

Computed, not measured: CaCe2PaSb4 after structural relaxation at the GGA-PBE level of DFT.

Structure (CIF):
```
data_CaCe2PaSb4
_space_group_name_H-M_alt 'P 1 2/m 1'
_space_group_IT_number 10
_cell_length_a 7.688
_cell_length_b 4.442
_cell_length_c 7.698
_cell_angle_alpha 90.00
_cell_angle_beta 90.51
_cell_angle_gamma 90.00
loop_
_space_group_symop_operation_xyz
'x,y,z'
'-x,-y,-z'
'-x,y,-z'
'x,-y,z'
loop_
_atom_site_label
_atom_site_fract_x
_atom_site_fract_y
_atom_site_fract_z
_atom_site_occupancy
Ca1 0.000 0.000 0.000 1
Ce1 0.000 0.000 0.500 1
Ce2 0.500 0.500 0.500 1
Pa1 0.500 0.500 0.000 1
Sb1 0.174 0.500 0.751 1
Sb2 0.342 0.000 0.242 1
```

Calculated values
Electronic total energy: -5.743 eV/atom
Energy relative to the elements, uncorrected: -0.761 eV/atom
Total magnetic moment: 0.890 μB per formula unit

=====

Computed, not measured: CaCe3Pb2 after structural relaxation at the GGA-PBE level of DFT.

Structure (CIF):
```
data_CaCe3Pb2
_space_group_name_H-M_alt 'C 1 2/m 1'
_space_group_IT_number 12
_cell_length_a 18.453
_cell_length_b 4.904
_cell_length_c 8.520
_cell_angle_alpha 90.00
_cell_angle_beta 111.87
_cell_angle_gamma 90.00
loop_
_space_group_symop_operation_xyz
'x,y,z'
'-x,-y,-z'
'-x,y,-z'
'x,-y,z'
'x+1/2,y+1/2,z'
'-x+1/2,-y+1/2,-z'
'-x+1/2,y+1/2,-z'
'x+1/2,-y+1/2,z'
loop_
_atom_site_label
_atom_site_fract_x
_atom_site_fract_y
_atom_site_fract_z
_atom_site_occupancy
Ca1 0.109 0.000 0.161 1
Ce1 0.066 0.000 0.645 1
Ce2 0.127 0.500 0.542 1
Ce3 0.198 0.500 0.891 1
Pb1 0.015 0.500 0.826 1
Pb2 0.244 0.500 0.306 1
```

Calculated values
Electronic total energy: -4.779 eV/atom
Calculated formation energy: -0.242 eV per atom
Total magnetic moment: 1.449 μB per formula unit